Entry from Alexandria: a relaxed CeLuRh crystal (PBE).

Summary:
The value obtained for the total magnetic moment is 0.66 μB/cell. The value obtained for the formation energy is -0.344 eV per atom. The symmetry is No. 156.

a = 4.5399 Å, b = 4.5399 Å, c = 4.0443 Å
α = 90.00°, β = 90.00°, γ = 120.00°
Last column: nearest neighbours and their distance in Å.
Atoms (fractional coordinates):
Ce 0.0000 0.0000 0.0000  3 Rh 2.89, 3 Lu 3.22
Lu 0.6667 0.3333 0.5358  3 Rh 2.79
Rh 0.3333 0.6667 0.3023  3 Lu 2.79, 3 Ce 2.89



Entry from Alexandria: a relaxed CeLu2Rh crystal (PBE).

Summary:
The value obtained for the total magnetic moment is 1.17 μB/cell. The value obtained for the formation energy is -0.456 eV per atom. The symmetry is No. 123.

a = 3.3755 Å, b = 3.3755 Å, c = 8.5945 Å
α = 90.00°, β = 90.00°, γ = 90.00°
Last column: nearest neighbours and their distance in Å.
Atoms (fractional coordinates):
Ce 0.0000 0.0000 0.0000  4 Ce 3.38, 8 Lu 3.58
Lu 0.5000 0.5000 0.3098  4 Rh 2.89
Lu 0.5000 0.5000 0.6902  4 Rh 2.89
Rh 0.0000 0.0000 0.5000  8 Lu 2.89



Entry from Alexandria: a relaxed CeLuRh crystal (PBE).

Summary:
The value obtained for the total magnetic moment is 1.48 μB/cell. The value obtained for the formation energy is -0.512 eV per atom. The symmetry is No. 107.

a = 6.5452 Å, b = 6.5452 Å, c = 6.5452 Å
α = 149.50°, β = 149.50°, γ = 43.68°
Last column: nearest neighbours and their distance in Å.
Atoms (fractional coordinates):
Ce 0.0000 0.0000 0.0000  4 Rh 2.99, 1 Lu 3.31
Lu 0.2726 0.2726 0.0000  4 Rh 2.90
Rh 0.6427 0.6427 0.0000  4 Lu 2.90, 4 Ce 2.99



Entry from Alexandria: a relaxed CeLuRuRh crystal (PBE).

Summary:
The value obtained for the total magnetic moment is 0.20 μB/cell. The value obtained for the formation energy is -0.617 eV per atom. The symmetry is No. 216.

a = 4.8266 Å, b = 4.8266 Å, c = 4.8266 Å
α = 60.00°, β = 60.00°, γ = 60.00°
Last column: nearest neighbours and their distance in Å.
Atoms (fractional coordinates):
Ce 0.0000 0.0000 0.0000  4 Ru 2.96, 4 Rh 2.96
Lu 0.5000 0.5000 0.5000  4 Ru 2.96, 4 Rh 2.96
Ru 0.7500 0.7500 0.7500  4 Lu 2.96, 4 Ce 2.96
Rh 0.2500 0.2500 0.2500  4 Ce 2.96, 4 Lu 2.96



Entry from Alexandria: a relaxed CeLuTcRh crystal (PBE).

Summary:
The value obtained for the total magnetic moment is 0.00 μB/cell. The value obtained for the formation energy is -0.442 eV per atom. The symmetry is No. 216.

a = 4.8240 Å, b = 4.8240 Å, c = 4.8240 Å
α = 60.00°, β = 60.00°, γ = 60.00°
Last column: nearest neighbours and their distance in Å.
Atoms (fractional coordinates):
Ce 0.0000 0.0000 0.0000  4 Rh 2.95, 4 Tc 2.95
Lu 0.5000 0.5000 0.5000  4 Rh 2.95, 4 Tc 2.95
Tc 0.2500 0.2500 0.2500  4 Ce 2.95, 4 Lu 2.95
Rh 0.7500 0.7500 0.7500  4 Ce 2.95, 4 Lu 2.95



Entry from Alexandria: a relaxed CeLuTlRh crystal (PBE).

Summary:
The value obtained for the total magnetic moment is 0.60 μB/cell. The value obtained for the formation energy is -0.386 eV per atom. The symmetry is No. 216.

a = 5.1313 Å, b = 5.1313 Å, c = 5.1313 Å
α = 60.00°, β = 60.00°, γ = 60.00°
Last column: nearest neighbours and their distance in Å.
Atoms (fractional coordinates):
Ce 0.0000 0.0000 0.0000  4 Tl 3.14, 4 Rh 3.14
Lu 0.5000 0.5000 0.5000  4 Tl 3.14, 4 Rh 3.14
Tl 0.2500 0.2500 0.2500  4 Ce 3.14, 4 Lu 3.14
Rh 0.7500 0.7500 0.7500  4 Ce 3.14, 4 Lu 3.14